A plane-wave DFT calculation with PBE with a Hubbard U was carried out for crystalline ZrGaW2O at its relaxed geometry.

Calculated values
total DFT energy (no corrections)	-21.71	eV per cell

abc: 4.789 4.789 5.120
angles: 90.00 90.00 90.00
Space group P4/mmm (No. 123)
Inequivalent atoms, fractional coordinates:
Zr 0.000 0.000 0.000 (multiplicity 1)
Ga 0.000 0.000 0.500 (multiplicity 1)
W 0.000 0.500 0.500 (multiplicity 2)
O 0.500 0.500 0.000 (multiplicity 1)